! Tm2Se2I GGA-PBE relaxed; values from VASP
&SYSTEM
  ibrav = 0, nat = 5, ntyp = 3
/
ATOMIC_SPECIES
Tm 168.93 Tm.upf
Se 78.96 Se.upf
I 126.90 I.upf
CELL_PARAMETERS angstrom
3.885 0.000 -1.020
-0.268 3.876 -1.020
0.346 0.371 9.230
ATOMIC_POSITIONS angstrom
Tm 3.235 3.466 4.414
Tm 0.729 0.781 2.776
Se 2.533 2.714 1.740
Se 1.431 1.533 5.451
I 0.000 0.000 0.000
! M_tot = 0.000 μB per formula unit
! electronic total energy = -5.122 eV per atom
! distance to the lowest polymorph of the same formula = 0.00 kJ per mole of atoms
! formation energy (no corrections) = -1.629 eV per atom



! K3Mg2PbBr9 GGA-PBE relaxed; values from VASP
&SYSTEM
  ibrav = 0, nat = 15, ntyp = 4
/
ATOMIC_SPECIES
K 39.10 K.upf
Mg 24.30 Mg.upf
Pb 207.20 Pb.upf
Br 79.90 Br.upf
CELL_PARAMETERS angstrom
7.747 0.000 0.000
-3.873 6.709 0.000
0.000 0.000 10.001
ATOMIC_POSITIONS angstrom
K 0.000 4.473 7.283
K 0.000 0.000 0.000
K 3.873 2.236 2.717
Mg 0.000 4.473 1.608
Mg 3.873 2.236 8.393
Pb 0.000 0.000 5.000
Br 5.771 1.141 6.934
Br 3.873 4.427 6.934
Br 1.976 1.141 6.934
Br 1.897 5.568 3.067
Br 0.000 2.282 3.067
Br -1.897 5.568 3.067
Br 3.873 0.000 0.000
Br -1.937 3.354 0.000
Br 1.937 3.354 0.000
! M_tot = 0.000 μB per formula unit
! electronic total energy = -3.100 eV per atom
! formation energy (no corrections) = -1.417 eV per atom



! Ba3NaSm2Te6 GGA-PBE relaxed; values from VASP
&SYSTEM
  ibrav = 0, nat = 12, ntyp = 4
/
ATOMIC_SPECIES
Ba 137.33 Ba.upf
Na 22.99 Na.upf
Sm 150.36 Sm.upf
Te 127.60 Te.upf
CELL_PARAMETERS angstrom
-0.252 7.916 2.047
-6.912 -3.969 -1.838
1.517 -3.276 7.422
ATOMIC_POSITIONS angstrom
Ba -5.067 -3.667 2.507
Ba -0.581 4.338 5.124
Ba -2.824 0.335 3.815
Na 0.000 0.000 0.000
Sm -4.698 -0.018 -0.547
Sm -2.467 3.964 0.755
Te -3.089 2.463 6.590
Te -4.910 2.171 1.776
Te -2.559 -1.792 1.041
Te -5.365 -1.599 5.262
Te -0.738 -1.501 5.855
Te -0.283 2.270 2.369
! M_tot = 0.000 μB per formula unit
! electronic total energy = -4.487 eV per atom
! formation energy (no corrections) = -1.539 eV per atom



! Na2SnAsS4 GGA-PBE relaxed; values from VASP
&SYSTEM
  ibrav = 0, nat = 16, ntyp = 4
/
ATOMIC_SPECIES
Na 22.99 Na.upf
Sn 118.71 Sn.upf
As 74.92 As.upf
S 32.06 S.upf
CELL_PARAMETERS angstrom
-5.483 -1.435 -1.515
1.556 -6.715 0.730
-2.774 0.407 9.654
ATOMIC_POSITIONS angstrom
Na -2.644 -2.659 1.942
Na -4.045 -2.453 6.820
Na -6.198 -5.651 6.281
Na -4.826 -5.852 1.505
Sn -2.658 -5.909 4.719
Sn -4.982 -2.646 -1.320
As -6.509 -2.475 3.468
As -1.409 -6.153 -0.145
S -2.036 -1.487 -0.522
S -5.025 -6.918 4.082
S -3.192 -1.510 4.381
S -3.533 -6.806 -0.728
S -3.339 -5.204 7.144
S -5.402 -3.067 1.227
S -6.772 -2.866 5.993
S -1.935 -5.410 2.257
! M_tot = 0.000 μB per formula unit
! electronic total energy = -4.062 eV per atom
! formation energy (no corrections) = -0.587 eV per atom



! Li3Ge2Pt2 GGA-PBE relaxed; values from VASP
&SYSTEM
  ibrav = 0, nat = 7, ntyp = 3
/
ATOMIC_SPECIES
Li 6.94 Li.upf
Ge 72.64 Ge.upf
Pt 195.08 Pt.upf
CELL_PARAMETERS angstrom
-2.110 -0.142 3.799
-2.169 -0.655 -3.711
3.291 -5.875 -0.847
ATOMIC_POSITIONS angstrom
Li 0.000 0.000 0.000
Li -1.465 -4.130 -0.941
Li 0.477 -2.542 0.183
Ge -1.944 -1.580 -1.129
Ge 0.956 -5.091 0.371
Pt 0.870 -4.909 -2.158
Pt -1.858 -1.763 1.400
! M_tot = 0.000 μB per formula unit
! electronic total energy = -4.484 eV per atom
! formation energy = -0.619 eV/atom
! distance to the lowest polymorph of the same formula = 0.00 kJ per mole of atoms